SrPrAl3O7 | meta-GGA SCAN | PBEsol geometry

Lattice parameters (Å, degrees): 7.8588 7.8588 5.1860 90.00 90.00 90.16
Sites, in units of the cell vectors:
Sr 0.1607 0.1607 0.0000
Sr 0.8393 0.8393 0.0000
Pr 0.3384 0.6616 0.0210
Pr 0.6616 0.3384 0.0210
Al 0.0000 0.5000 0.5099
Al 0.1447 0.8553 0.4717
Al 0.3576 0.3576 0.5488
Al 0.5000 0.0000 0.5099
Al 0.6424 0.6424 0.5488
Al 0.8553 0.1447 0.4717
O 0.0000 0.0000 0.3451
O 0.0923 0.6607 0.3139
O 0.1508 0.8492 0.8059
O 0.1660 0.4183 0.7014
O 0.3393 0.9077 0.3139
O 0.3683 0.3683 0.2130
O 0.4183 0.1660 0.7014
O 0.5000 0.5000 0.7000
O 0.5817 0.8340 0.7014
O 0.6317 0.6317 0.2130
O 0.6607 0.0923 0.3139
O 0.8340 0.5817 0.7014
O 0.8492 0.1508 0.8059
O 0.9077 0.3393 0.3139

Results
The calculation puts the magnetization at 0.000 μB/atom. The density of states at the Fermi level comes out at 0.00 states/eV/cell. The formation energy without anion corrections comes out at -334.7 kJ/mol of atoms.